Run i
The following is a DFT calculation (GGA+U) of a relaxed VTeF2 crystal.

Total magnetization (μB/cell): 7.07

Lattice parameters (Å, degrees): 3.1918 3.1918 30.9459 90.00 90.00 120.00
Space group R-3m (No. 166, hexagonal axes)
Symmetry-distinct sites (fractional):
V1 0.0000 0.0000 0.0000 x3
Te1 0.0000 0.0000 0.5000 x3
F1 0.0000 0.0000 0.0575 x6

---

Run ii
The following is a DFT calculation (GGA+U) of a relaxed VTeF2 crystal.

Total magnetization (μB/cell): 4.99

Lattice parameters (Å, degrees): 6.373 6.373 6.373 90.00 90.00 90.00
Space group Fm-3m (No. 225)
Symmetry-distinct sites (fractional):
V1 0.000 0.000 0.000 x4
Te1 0.000 0.000 0.500 x4
F1 0.250 0.250 0.250 x8

---

Run iii
The following is a DFT calculation (GGA+U) of a relaxed VTeF2 crystal.

Total magnetization (μB/cell): 8.96

Lattice parameters (Å, degrees): 3.2591 3.2591 29.0999 90.00 90.00 120.00
Space group R-3m (No. 166, hexagonal axes)
Symmetry-distinct sites (fractional):
V1 0.0000 0.0000 0.0000 x3
Te1 0.0000 0.0000 0.5000 x3
F1 0.0000 0.0000 0.3669 x6

---

Relative to the most stable structure, the computed energies are run i 63.3; run ii 129.1; run iii 0.0, all in kJ/mol of atoms.

---

Run i
The following is a DFT calculation (GGA+U) of a relaxed VTe3F crystal.

Total magnetization (μB/cell): 3.15

Lattice parameters (Å, degrees): 4.996 4.996 4.996 90.00 90.00 90.00
Space group Pm-3m (No. 221)
Symmetry-distinct sites (fractional):
V1 0.000 0.000 0.000 x1
Te1 0.000 0.500 0.500 x3
F1 0.500 0.500 0.500 x1

---

Run ii
The following is a DFT calculation (GGA+U) of a relaxed VTe3F crystal.

Total magnetization (μB/cell): 0.01

Lattice parameters (Å, degrees): 5.205 5.205 5.205 90.00 90.00 90.00
Space group Pm-3m (No. 221)
Symmetry-distinct sites (fractional):
V1 0.000 0.000 0.000 x1
Te1 0.000 0.000 0.500 x3
F1 0.500 0.500 0.500 x1

---

Relative to the most stable structure, the computed energies are run i 10.5; run ii 0.0, all in kJ/mol of atoms.

---

Run i
The following is a DFT calculation (GGA+U) of a relaxed V2TeF2 crystal.

Total magnetization (μB/cell): 13.33

Lattice parameters (Å, degrees): 7.507 7.507 3.058 90.00 90.00 90.00
Space group P4/mbm (No. 127)
Symmetry-distinct sites (fractional):
V1 0.139 0.361 0.000 x4
Te1 0.000 0.000 0.000 x2
F1 0.110 0.610 0.500 x4

---

Run ii
The following is a DFT calculation (GGA+U) of a relaxed V2TeF2 crystal.

Total magnetization (μB/cell): 11.72

Lattice parameters (Å, degrees): 3.663 3.663 12.236 90.00 90.00 90.00
Space group I4/mmm (No. 139)
Symmetry-distinct sites (fractional):
V1 0.000 0.000 0.139 x4
Te1 0.000 0.000 0.500 x2
F1 0.000 0.500 0.250 x4

---

Relative to the most stable structure, the computed energies are run i 46.2; run ii 0.0, all in kJ/mol of atoms.

---

Run i
The following is a DFT calculation (GGA+U) of a relaxed Te2WF crystal.

Total magnetization (μB/cell): 8.58

Lattice parameters (Å, degrees): 6.827 6.827 6.827 90.00 90.00 90.00
Space group Fm-3m (No. 225)
Symmetry-distinct sites (fractional):
Te1 0.250 0.250 0.250 x8
W1 0.000 0.000 0.000 x4
F1 0.000 0.000 0.500 x4

---

Run ii
The following is a DFT calculation (GGA+U) of a relaxed Te2WF crystal.

Total magnetization (μB/cell): 0.00

Lattice parameters (Å, degrees): 3.0623 3.0623 29.9061 90.00 90.00 120.00
Space group R-3m (No. 166, hexagonal axes)
Symmetry-distinct sites (fractional):
Te1 0.0000 0.0000 0.0948 x6
W1 0.0000 0.0000 0.0000 x3
F1 0.0000 0.0000 0.5000 x3

---

Run iii
The following is a DFT calculation (GGA+U) of a relaxed Te2WF crystal.

Total magnetization (μB/cell): 4.00

Lattice parameters (Å, degrees): 6.746 6.746 10.298 90.00 90.00 90.00
Space group I-42d (No. 122)
Symmetry-distinct sites (fractional):
Te1 0.247 0.250 0.125 x8
W1 0.000 0.000 0.000 x4
F1 0.000 0.000 0.500 x4

---

Relative to the most stable structure, the computed energies are run i 0.0; run ii 70.2; run iii 37.0, all in kJ/mol of atoms.

---

Run i
The following is a DFT calculation (GGA+U) of a relaxed Te3WF crystal.

Total magnetization (μB/cell): 3.66

Lattice parameters (Å, degrees): 4.961 4.961 4.961 90.00 90.00 90.00
Space group Pm-3m (No. 221)
Symmetry-distinct sites (fractional):
Te1 0.000 0.000 0.500 x3
W1 0.500 0.500 0.500 x1
F1 0.000 0.000 0.000 x1

---

Run ii
The following is a DFT calculation (GGA+U) of a relaxed Te3WF crystal.

Total magnetization (μB/cell): 0.06

Lattice parameters (Å, degrees): 5.266 5.266 5.266 90.00 90.00 90.00
Space group Pm-3m (No. 221)
Symmetry-distinct sites (fractional):
Te1 0.000 0.000 0.500 x3
W1 0.000 0.000 0.000 x1
F1 0.500 0.500 0.500 x1

---

Relative to the most stable structure, the computed energies are run i 15.5; run ii 0.0, all in kJ/mol of atoms.

---

Run i
The following is a DFT calculation (GGA+U) of a relaxed TeW2F crystal.

Total magnetization (μB/cell): 27.83

Lattice parameters (Å, degrees): 5.382 5.382 14.290 90.00 90.00 90.00
Space group I-42d (No. 122)
Symmetry-distinct sites (fractional):
Te1 0.000 0.000 0.000 x4
W1 0.132 0.250 0.625 x8
F1 0.000 0.000 0.500 x4

---

Run ii
The following is a DFT calculation (GGA+U) of a relaxed TeW2F crystal.

Total magnetization (μB/cell): 27.55

Lattice parameters (Å, degrees): 6.752 6.752 6.752 90.00 90.00 90.00
Space group Fm-3m (No. 225)
Symmetry-distinct sites (fractional):
Te1 0.000 0.000 0.000 x4
W1 0.250 0.250 0.250 x8
F1 0.000 0.000 0.500 x4

---

Relative to the most stable structure, the computed energies are run i 0.0; run ii 12.0, all in kJ/mol of atoms.